Density functional theory data (PBE-GGA) for K2CaCl4 after structural relaxation.

Structure (POSCAR):
```
K2CaCl4
1.0
4.1175 0.0000 0.0000
0.0000 8.5453 -0.5420
-2.0587 -4.7290 6.3099
K Ca Cl
2 1 4
Direct
0.6465 0.6103 0.2930
0.3535 0.3897 0.7070
0.0000 0.0000 0.0000
0.9499 0.2478 0.8998
0.0501 0.7522 0.1002
0.6541 0.2342 0.3082
0.3459 0.7658 0.6918
```

Computed properties:
- E: -26.56 eV/f.u.
- ΔE_f (raw): -2.14 eV/atom
- SG: C2/m
- Total magnetic moment: 0.00 Bohr magnetons per cell

Density functional theory data (PBE-GGA) for KCaCl after structural relaxation.

Structure (POSCAR):
```
KCaCl
1.0
4.0792 0.0000 0.0000
-2.0396 3.5327 0.0000
0.0000 0.0000 7.6147
Ca K Cl
1 1 1
Direct
0.0000 0.0000 0.0689
0.3333 0.6667 0.6157
0.6667 0.3333 0.3154
```

Computed properties:
- E: -8.16 eV/f.u.
- ΔE_f (raw): -1.07 eV/atom
- SG: P3m1
- Total magnetic moment: 0.12 Bohr magnetons per cell

Density functional theory data (PBE-GGA) for KCa2Cl after structural relaxation.

Structure (POSCAR):
```
KCa2Cl
1.0
-0.7877 -3.4798 -3.3094
-2.6931 -2.4565 3.2240
-5.8790 3.4797 -2.2596
Ca K Cl
2 1 1
Direct
0.0000 0.0000 0.0000
0.5000 0.5000 0.0000
0.0000 0.5000 0.5000
0.5000 0.0000 0.5000
```

Computed properties:
- E: -8.56 eV/f.u.
- ΔE_f (raw): -0.40 eV/atom
- SG: P4/mmm
- Total magnetic moment: 0.00 Bohr magnetons per cell

Density functional theory data (PBE-GGA) for KCa2Cl after structural relaxation.

Structure (POSCAR):
```
KCa2Cl
1.0
-2.5639 1.7999 2.2051
-2.9609 -2.0026 -1.8082
-0.7081 -8.4456 6.0704
Ca K Cl
2 1 1
Direct
0.0000 0.0523 0.0231
0.5000 0.4172 0.2915
0.5000 0.7223 0.6793
0.0000 0.3082 0.5062
```

Computed properties:
- E: -10.16 eV/f.u.
- ΔE_f (raw): -0.80 eV/atom
- SG: Pm
- Total magnetic moment: 0.00 Bohr magnetons per cell

Density functional theory data (PBE-GGA) for KCa3Cl after structural relaxation.

Structure (POSCAR):
```
KCa3Cl
1.0
-0.3503 -6.6602 -1.9761
4.4740 -1.7300 5.0376
-5.3148 -1.0173 4.3708
Ca K Cl
3 1 1
Direct
0.0000 0.5000 0.0000
0.0000 0.0000 0.5000
0.5000 0.0000 0.0000
0.0000 0.0000 0.0000
0.5000 0.5000 0.5000
```

Computed properties:
- E: -6.28 eV/f.u.
- ΔE_f (raw): 0.53 eV/atom
- SG: Pm-3m
- Total magnetic moment: 0.00 Bohr magnetons per cell

Density functional theory data (PBE-GGA) for KLi3Ca4Cl12 after structural relaxation.

Structure (POSCAR):
```
KLi3Ca4Cl12
1.0
-7.4193 -4.3475 1.7500
6.4281 -2.9818 5.1765
-1.2104 8.5650 1.4780
K Li Ca Cl
1 3 4 12
Direct
0.0000 0.0000 0.0000
0.0000 0.5000 0.5000
0.5000 0.5000 0.0000
0.5000 0.0000 0.5000
0.5000 0.0000 0.0000
0.5000 0.5000 0.5000
0.0000 0.5000 0.0000
0.0000 0.0000 0.5000
0.3160 0.8308 0.1468
0.6840 0.1692 0.8532
0.6840 0.8308 0.5147
0.8532 0.6840 0.1692
0.8308 0.1468 0.3160
0.1692 0.4853 0.3160
0.4853 0.3160 0.1692
0.1692 0.8532 0.6840
0.3160 0.1692 0.4853
0.1468 0.3160 0.8308
0.8308 0.5147 0.6840
0.5147 0.6840 0.8308
```

Computed properties:
- E: -79.88 eV/f.u.
- ΔE_f (raw): -2.14 eV/atom
- SG: Im-3
- Total magnetic moment: 0.00 Bohr magnetons per cell

What is the formula in the sixth record? KLi3Ca4Cl12

ΔE_f (raw) of number 1 (K2CaCl4)? -2.14 eV/atom

Look up the E of the second one. -8.16 eV/f.u.

Which value of ΔE_f (raw) does entry 4 give? -0.80 eV/atom